Entry 1:
Computed, not measured: a geometry-optimized SrHf2Tc structure at the PBE level of DFT.

The space group is Fm-3m (225). The formation enthalpy at 0 K comes out at 523 meV/atom.

CIF file:
```
data_SrHf2Tc
_chemical_formula_sum 'Sr1 Hf2 Tc1'
_cell_length_a 4.968
_cell_length_b 4.968
_cell_length_c 4.968
_cell_angle_alpha 60.00
_cell_angle_beta 60.00
_cell_angle_gamma 60.00
_space_group_name_H-M_alt 'P 1'
_space_group_IT_number 1
loop_
_space_group_symop_operation_xyz
'x,y,z'
loop_
_atom_site_label
_atom_site_type_symbol
_atom_site_fract_x
_atom_site_fract_y
_atom_site_fract_z
_atom_site_occupancy
Sr1 Sr 0.000 0.000 0.000 1
Hf1 Hf 0.250 0.250 0.250 1
Hf2 Hf 0.750 0.750 0.750 1
Tc1 Tc 0.500 0.500 0.500 1
```

=====

Entry 2:
Computed, not measured: a geometry-optimized Sr3HfTc structure at the PBE level of DFT.

The space group is Pm-3m (221). The formation enthalpy at 0 K comes out at 1769 meV/atom.

CIF file:
```
data_Sr3HfTc
_chemical_formula_sum 'Sr3 Hf1 Tc1'
_cell_length_a 6.009
_cell_length_b 6.009
_cell_length_c 6.009
_cell_angle_alpha 90.00
_cell_angle_beta 90.00
_cell_angle_gamma 90.00
_space_group_name_H-M_alt 'P 1'
_space_group_IT_number 1
loop_
_space_group_symop_operation_xyz
'x,y,z'
loop_
_atom_site_label
_atom_site_type_symbol
_atom_site_fract_x
_atom_site_fract_y
_atom_site_fract_z
_atom_site_occupancy
Sr1 Sr 0.000 0.500 0.000 1
Sr2 Sr 0.000 0.000 0.500 1
Sr3 Sr 0.500 0.000 0.000 1
Hf1 Hf 0.000 0.000 0.000 1
Tc1 Tc 0.500 0.500 0.500 1
```

=====

Entry 3:
Computed, not measured: a geometry-optimized SrHfZrTc2 structure at the PBE level of DFT.

The space group is P4/mmm (123). The formation enthalpy at 0 K comes out at 1132 meV/atom.

CIF file:
```
data_SrHfZrTc2
_chemical_formula_sum 'Sr1 Hf1 Zr1 Tc2'
_cell_length_a 4.945
_cell_length_b 5.233
_cell_length_c 4.945
_cell_angle_alpha 90.00
_cell_angle_beta 90.00
_cell_angle_gamma 90.00
_space_group_name_H-M_alt 'P 1'
_space_group_IT_number 1
loop_
_space_group_symop_operation_xyz
'x,y,z'
loop_
_atom_site_label
_atom_site_type_symbol
_atom_site_fract_x
_atom_site_fract_y
_atom_site_fract_z
_atom_site_occupancy
Sr1 Sr 0.500 0.500 0.500 1
Hf1 Hf 0.000 0.000 0.000 1
Tc1 Tc 0.000 0.000 0.500 1
Tc2 Tc 0.500 0.000 0.000 1
Zr1 Zr 0.000 0.500 0.000 1
```

=====

Entry 4:
Computed, not measured: a geometry-optimized SrHfTe3 structure at the PBE level of DFT.

The space group is Fd-3m (227). The value obtained for the energy relative to the elements, uncorrected is -0.827 eV per atom.

CIF file:
```
data_SrHfTe3
_chemical_formula_sum 'Sr4 Hf4 Te12'
_cell_length_a 10.364
_cell_length_b 10.364
_cell_length_c 10.364
_cell_angle_alpha 60.00
_cell_angle_beta 60.00
_cell_angle_gamma 60.00
_space_group_name_H-M_alt 'P 1'
_space_group_IT_number 1
loop_
_space_group_symop_operation_xyz
'x,y,z'
loop_
_atom_site_label
_atom_site_type_symbol
_atom_site_fract_x
_atom_site_fract_y
_atom_site_fract_z
_atom_site_occupancy
Sr1 Sr 0.125 0.125 0.125 1
Sr2 Sr 0.125 0.625 0.125 1
Sr3 Sr 0.625 0.125 0.125 1
Sr4 Sr 0.125 0.125 0.625 1
Te1 Te 0.712 0.288 0.288 1
Te2 Te 0.962 0.538 0.538 1
Te3 Te 0.538 0.538 0.962 1
Te4 Te 0.538 0.962 0.962 1
Te5 Te 0.962 0.538 0.962 1
Te6 Te 0.712 0.288 0.712 1
Te7 Te 0.538 0.962 0.538 1
Te8 Te 0.962 0.962 0.538 1
Te9 Te 0.288 0.712 0.288 1
Te10 Te 0.288 0.712 0.712 1
Te11 Te 0.288 0.288 0.712 1
Te12 Te 0.712 0.712 0.288 1
Hf1 Hf 0.625 0.625 0.625 1
Hf2 Hf 0.625 0.125 0.625 1
Hf3 Hf 0.125 0.625 0.625 1
Hf4 Hf 0.625 0.625 0.125 1
```

=====

Entry 5:
Computed, not measured: a geometry-optimized SrHfTe2 structure at the PBE level of DFT.

The space group is Fm-3m (225). The value obtained for the energy relative to the elements, uncorrected is -0.674 eV per atom.

CIF file:
```
data_SrHfTe2
_chemical_formula_sum 'Sr1 Hf1 Te2'
_cell_length_a 5.363
_cell_length_b 5.363
_cell_length_c 5.363
_cell_angle_alpha 60.00
_cell_angle_beta 60.00
_cell_angle_gamma 60.00
_space_group_name_H-M_alt 'P 1'
_space_group_IT_number 1
loop_
_space_group_symop_operation_xyz
'x,y,z'
loop_
_atom_site_label
_atom_site_type_symbol
_atom_site_fract_x
_atom_site_fract_y
_atom_site_fract_z
_atom_site_occupancy
Sr1 Sr 0.000 0.000 0.000 1
Te1 Te 0.250 0.250 0.250 1
Te2 Te 0.750 0.750 0.750 1
Hf1 Hf 0.500 0.500 0.500 1
```

=====

Entry 6:
Computed, not measured: a geometry-optimized SrHfTe3 structure at the PBE level of DFT.

The space group is R3c (161). The value obtained for the energy relative to the elements, uncorrected is -1.059 eV per atom.

CIF file:
```
data_SrHfTe3
_chemical_formula_sum 'Sr2 Hf2 Te6'
_cell_length_a 7.943
_cell_length_b 7.943
_cell_length_c 7.943
_cell_angle_alpha 59.20
_cell_angle_beta 59.20
_cell_angle_gamma 59.20
_space_group_name_H-M_alt 'P 1'
_space_group_IT_number 1
loop_
_space_group_symop_operation_xyz
'x,y,z'
loop_
_atom_site_label
_atom_site_type_symbol
_atom_site_fract_x
_atom_site_fract_y
_atom_site_fract_z
_atom_site_occupancy
Sr1 Sr 0.012 0.012 0.012 1
Sr2 Sr 0.512 0.512 0.512 1
Te1 Te 0.151 0.959 0.553 1
Te2 Te 0.459 0.651 0.053 1
Te3 Te 0.053 0.459 0.651 1
Te4 Te 0.651 0.053 0.459 1
Te5 Te 0.959 0.553 0.151 1
Te6 Te 0.553 0.151 0.959 1
Hf1 Hf 0.307 0.307 0.307 1
Hf2 Hf 0.807 0.807 0.807 1
```

=====

Entry 7:
Computed, not measured: a geometry-optimized SrHfTe3 structure at the PBE level of DFT.

The space group is Amm2 (38). The value obtained for the energy relative to the elements, uncorrected is -0.881 eV per atom.

CIF file:
```
data_SrHfTe3
_chemical_formula_sum 'Sr1 Hf1 Te3'
_cell_length_a 4.768
_cell_length_b 7.473
_cell_length_c 7.473
_cell_angle_alpha 109.94
_cell_angle_beta 90.00
_cell_angle_gamma 90.00
_space_group_name_H-M_alt 'P 1'
_space_group_IT_number 1
loop_
_space_group_symop_operation_xyz
'x,y,z'
loop_
_atom_site_label
_atom_site_type_symbol
_atom_site_fract_x
_atom_site_fract_y
_atom_site_fract_z
_atom_site_occupancy
Sr1 Sr 0.000 0.477 0.523 1
Te1 Te 0.500 0.184 0.305 1
Te2 Te 0.500 0.695 0.816 1
Te3 Te 0.000 0.197 0.803 1
Hf1 Hf 0.500 0.076 0.924 1
```

=====

Entry 8:
Computed, not measured: a geometry-optimized SrHfTe3 structure at the PBE level of DFT.

The space group is Pm-3m (221). The value obtained for the energy relative to the elements, uncorrected is 0.717 eV per atom.

CIF file:
```
data_SrHfTe3
_chemical_formula_sum 'Sr1 Hf1 Te3'
_cell_length_a 5.899
_cell_length_b 5.899
_cell_length_c 5.899
_cell_angle_alpha 90.00
_cell_angle_beta 90.00
_cell_angle_gamma 90.00
_space_group_name_H-M_alt 'P 1'
_space_group_IT_number 1
loop_
_space_group_symop_operation_xyz
'x,y,z'
loop_
_atom_site_label
_atom_site_type_symbol
_atom_site_fract_x
_atom_site_fract_y
_atom_site_fract_z
_atom_site_occupancy
Sr1 Sr 0.000 0.000 0.000 1
Te1 Te 0.000 0.500 0.000 1
Te2 Te 0.000 0.000 0.500 1
Te3 Te 0.500 0.000 0.000 1
Hf1 Hf 0.500 0.500 0.500 1
```

=====

Entry 9:
Computed, not measured: a geometry-optimized SrHfTe3 structure at the PBE level of DFT.

The space group is I-4m2 (119). The value obtained for the energy relative to the elements, uncorrected is -0.564 eV per atom.

CIF file:
```
data_SrHfTe3
_chemical_formula_sum 'Sr2 Hf2 Te6'
_cell_length_a 6.193
_cell_length_b 6.193
_cell_length_c 10.615
_cell_angle_alpha 73.04
_cell_angle_beta 73.04
_cell_angle_gamma 90.00
_space_group_name_H-M_alt 'P 1'
_space_group_IT_number 1
loop_
_space_group_symop_operation_xyz
'x,y,z'
loop_
_atom_site_label
_atom_site_type_symbol
_atom_site_fract_x
_atom_site_fract_y
_atom_site_fract_z
_atom_site_occupancy
Sr1 Sr 0.642 0.142 0.716 1
Sr2 Sr 0.858 0.358 0.284 1
Te1 Te 0.621 0.889 0.222 1
Te2 Te 0.111 0.379 0.778 1
Te3 Te 0.111 0.843 0.778 1
Te4 Te 0.157 0.889 0.222 1
Te5 Te 0.286 0.286 0.428 1
Te6 Te 0.714 0.714 0.572 1
Hf1 Hf 0.000 0.000 0.000 1
Hf2 Hf 0.250 0.750 0.500 1
```

=====

Entry 10:
Computed, not measured: a geometry-optimized Sr2Hf2Te structure at the PBE level of DFT.

The space group is P4/mbm (127). The value obtained for the energy relative to the elements, uncorrected is 0.569 eV per atom.

CIF file:
```
data_Sr2Hf2Te
_chemical_formula_sum 'Sr4 Hf4 Te2'
_cell_length_a 8.524
_cell_length_b 8.524
_cell_length_c 5.004
_cell_angle_alpha 90.00
_cell_angle_beta 90.00
_cell_angle_gamma 90.00
_space_group_name_H-M_alt 'P 1'
_space_group_IT_number 1
loop_
_space_group_symop_operation_xyz
'x,y,z'
loop_
_atom_site_label
_atom_site_type_symbol
_atom_site_fract_x
_atom_site_fract_y
_atom_site_fract_z
_atom_site_occupancy
Sr1 Sr 0.334 0.834 0.000 1
Sr2 Sr 0.834 0.666 0.000 1
Sr3 Sr 0.666 0.166 0.000 1
Sr4 Sr 0.166 0.334 0.000 1
Te1 Te 0.000 0.000 0.000 1
Te2 Te 0.500 0.500 0.000 1
Hf1 Hf 0.113 0.613 0.500 1
Hf2 Hf 0.613 0.887 0.500 1
Hf3 Hf 0.887 0.387 0.500 1
Hf4 Hf 0.387 0.113 0.500 1
```

=====

Entry 11:
Computed, not measured: a geometry-optimized SrHfTe3 structure at the PBE level of DFT.

The space group is Pnma (62). The value obtained for the energy relative to the elements, uncorrected is -1.128 eV per atom.

CIF file:
```
data_SrHfTe3
_chemical_formula_sum 'Sr4 Hf4 Te12'
_cell_length_a 4.220
_cell_length_b 9.742
_cell_length_c 15.701
_cell_angle_alpha 90.00
_cell_angle_beta 90.00
_cell_angle_gamma 90.00
_space_group_name_H-M_alt 'P 1'
_space_group_IT_number 1
loop_
_space_group_symop_operation_xyz
'x,y,z'
loop_
_atom_site_label
_atom_site_type_symbol
_atom_site_fract_x
_atom_site_fract_y
_atom_site_fract_z
_atom_site_occupancy
Sr1 Sr 0.250 0.949 0.323 1
Sr2 Sr 0.750 0.051 0.677 1
Sr3 Sr 0.750 0.551 0.823 1
Sr4 Sr 0.250 0.449 0.177 1
Hf1 Hf 0.250 0.666 0.555 1
Hf2 Hf 0.750 0.334 0.445 1
Hf3 Hf 0.750 0.834 0.055 1
Hf4 Hf 0.250 0.166 0.945 1
Te1 Te 0.750 0.216 0.281 1
Te2 Te 0.250 0.658 0.988 1
Te3 Te 0.250 0.021 0.108 1
Te4 Te 0.250 0.521 0.392 1
Te5 Te 0.250 0.158 0.512 1
Te6 Te 0.750 0.479 0.608 1
Te7 Te 0.250 0.284 0.781 1
Te8 Te 0.750 0.979 0.892 1
Te9 Te 0.750 0.342 0.012 1
Te10 Te 0.750 0.716 0.219 1
Te11 Te 0.750 0.842 0.488 1
Te12 Te 0.250 0.784 0.719 1
```

=====

Entry 12:
Computed, not measured: a geometry-optimized SrHfTe3 structure at the PBE level of DFT.

The space group is Cmcm (63). The value obtained for the energy relative to the elements, uncorrected is -0.544 eV per atom.

CIF file:
```
data_SrHfTe3
_chemical_formula_sum 'Sr2 Hf2 Te6'
_cell_length_a 9.963
_cell_length_b 9.963
_cell_length_c 5.984
_cell_angle_alpha 90.00
_cell_angle_beta 90.00
_cell_angle_gamma 145.07
_space_group_name_H-M_alt 'P 1'
_space_group_IT_number 1
loop_
_space_group_symop_operation_xyz
'x,y,z'
loop_
_atom_site_label
_atom_site_type_symbol
_atom_site_fract_x
_atom_site_fract_y
_atom_site_fract_z
_atom_site_occupancy
Sr1 Sr 0.160 0.840 0.250 1
Sr2 Sr 0.840 0.160 0.750 1
Te1 Te 0.081 0.424 0.250 1
Te2 Te 0.576 0.919 0.250 1
Te3 Te 0.424 0.081 0.750 1
Te4 Te 0.919 0.576 0.750 1
Te5 Te 0.000 0.000 0.000 1
Te6 Te 0.000 0.000 0.500 1
Hf1 Hf 0.460 0.540 0.250 1
Hf2 Hf 0.540 0.460 0.750 1
```

=====

Number 1: E_tot -7.47 eV/atom. Number 2: E_tot -3.30 eV/atom. Number 3: E_tot -7.05 eV/atom. Number 4: E_tot -5.04 eV/atom. Number 5: E_tot -5.15 eV/atom. Number 6: E_tot -5.27 eV/atom. Number 7: E_tot -5.09 eV/atom. Number 8: E_tot -3.50 eV/atom. Number 9: E_tot -4.78 eV/atom. Number 10: E_tot -4.71 eV/atom. Number 11: E_tot -5.34 eV/atom. Number 12: E_tot -4.76 eV/atom.